[1]
The following is a PBE calculation of a geometry-optimized TlB structure, from Alexandria via LeMat-Bulk.

Output
Total DFT energy (no corrections), eV per cell: -55.43
Energy of formation from the pure elements, meV/atom: 1058
Spin magnetization, μB/f.u.: 0.0
Energy above the lowest structure with this stoichiometry, meV/atom: 570

Structure (CIF):
```
data_TlB
_chemical_formula_sum 'Tl8 B8'
_cell_length_a 7.405
_cell_length_b 7.405
_cell_length_c 7.405
_cell_angle_alpha 90.00
_cell_angle_beta 90.00
_cell_angle_gamma 90.00
_space_group_name_H-M_alt 'I -4 3 m'
_space_group_IT_number 217
_space_group_name_Hall 'I -4 2 3'
loop_
_atom_site_label
_atom_site_type_symbol
_atom_site_fract_x
_atom_site_fract_y
_atom_site_fract_z
_atom_site_occupancy
Tl1 Tl 0.226 0.226 0.774 1
B1 B 0.084 0.084 0.084 1
```

---

[2]
The following is a PBE calculation of a geometry-optimized LiVP2 structure, from Alexandria via LeMat-Bulk.

Output
Total DFT energy (no corrections), eV per cell: -71.60
Energy of formation from the pure elements, meV/atom: -504
Spin magnetization, μB/f.u.: 0.0
Energy above the lowest structure with this stoichiometry, meV/atom: 0

Structure (CIF):
```
data_LiVP2
_chemical_formula_sum 'Li3 V3 P6'
_cell_length_a 3.0402
_cell_length_b 3.0402
_cell_length_c 22.0028
_cell_angle_alpha 90.00
_cell_angle_beta 90.00
_cell_angle_gamma 120.00
_space_group_name_H-M_alt 'R 3 m'
_space_group_IT_number 160
_space_group_name_Hall 'R 3 -2"'
loop_
_atom_site_label
_atom_site_type_symbol
_atom_site_fract_x
_atom_site_fract_y
_atom_site_fract_z
_atom_site_occupancy
Li1 Li 0.0000 0.0000 0.0000 1
V1 V 0.0000 0.0000 0.8367 1
P1 P 0.0000 0.0000 0.2439 1
P2 P 0.0000 0.0000 0.4286 1
```

---

[3]
The following is a PBE calculation of a geometry-optimized InC5 structure, from Alexandria via LeMat-Bulk.

Output
Total DFT energy (no corrections), eV per cell: -36.12
Energy of formation from the pure elements, meV/atom: 2123
Spin magnetization, μB/f.u.: 0.0
Energy above the lowest structure with this stoichiometry, meV/atom: 953

Structure (CIF):
```
data_InC5
_chemical_formula_sum 'In1 C5'
_cell_length_a 4.465
_cell_length_b 4.465
_cell_length_c 5.372
_cell_angle_alpha 90.00
_cell_angle_beta 90.00
_cell_angle_gamma 90.00
_space_group_name_H-M_alt 'P 4/m m m'
_space_group_IT_number 123
_space_group_name_Hall '-P 4 2'
loop_
_atom_site_label
_atom_site_type_symbol
_atom_site_fract_x
_atom_site_fract_y
_atom_site_fract_z
_atom_site_occupancy
In1 In 0.000 0.000 0.000 1
C1 C 0.000 0.000 0.385 1
C2 C 0.500 0.500 0.260 1
C3 C 0.500 0.500 0.500 1
```

---

[4]
The following is a PBE calculation of a geometry-optimized PmNd2Nb structure, from Alexandria via LeMat-Bulk.

Output
Total DFT energy (no corrections), eV per cell: -65.88
Energy of formation from the pure elements, meV/atom: 599
Spin magnetization, μB/f.u.: 0.0

Structure (CIF):
```
data_PmNd2Nb
_chemical_formula_sum 'Pm3 Nd6 Nb3'
_cell_length_a 3.3655
_cell_length_b 3.3655
_cell_length_c 36.0498
_cell_angle_alpha 90.00
_cell_angle_beta 90.00
_cell_angle_gamma 120.00
_space_group_name_H-M_alt 'R -3 m'
_space_group_IT_number 166
_space_group_name_Hall '-R 3 2"'
loop_
_atom_site_label
_atom_site_type_symbol
_atom_site_fract_x
_atom_site_fract_y
_atom_site_fract_z
_atom_site_occupancy
Pm1 Pm 0.0000 0.0000 0.0000 1
Nd1 Nd 0.0000 0.0000 0.4192 1
Nb1 Nb 0.0000 0.0000 0.5000 1
```

---

[5]
The following is a PBE calculation of a geometry-optimized Ca2CuSi structure, from Alexandria via LeMat-Bulk.

Output
Energy relative to the elements, uncorrected, kcal/mol of atoms: -4.56
Total DFT energy (no corrections), eV per cell: -28.63
Spin magnetization, μB/f.u.: 0.0

Structure (CIF):
```
data_Ca2CuSi
_chemical_formula_sum 'Ca4 Cu2 Si2'
_cell_length_a 11.833
_cell_length_b 3.433
_cell_length_c 4.857
_cell_angle_alpha 90.00
_cell_angle_beta 114.12
_cell_angle_gamma 90.00
_space_group_name_H-M_alt 'C 1 m 1'
_space_group_IT_number 8
_space_group_name_Hall 'C -2y'
loop_
_atom_site_label
_atom_site_type_symbol
_atom_site_fract_x
_atom_site_fract_y
_atom_site_fract_z
_atom_site_occupancy
Ca1 Ca 0.000 0.000 0.000 1
Ca2 Ca 0.202 0.000 0.702 1
Cu1 Cu 0.437 0.000 0.437 1
Si1 Si 0.281 0.500 0.279 1
```

---

[6]
The following is a PBE calculation of a geometry-optimized K2SrZrOs structure, from Alexandria via LeMat-Bulk.

Output
Total DFT energy (no corrections), eV per cell: -19.08
Energy of formation from the pure elements, meV/atom: 914
Spin magnetization, μB/f.u.: 0.0

Structure (CIF):
```
data_K2SrZrOs
_chemical_formula_sum 'K2 Sr1 Zr1 Os1'
_cell_length_a 6.469
_cell_length_b 6.469
_cell_length_c 4.934
_cell_angle_alpha 90.00
_cell_angle_beta 90.00
_cell_angle_gamma 90.00
_space_group_name_H-M_alt 'P 4/m m m'
_space_group_IT_number 123
_space_group_name_Hall '-P 4 2'
loop_
_atom_site_label
_atom_site_type_symbol
_atom_site_fract_x
_atom_site_fract_y
_atom_site_fract_z
_atom_site_occupancy
K1 K 0.000 0.500 0.000 1
Sr1 Sr 0.000 0.000 0.500 1
Zr1 Zr 0.500 0.500 0.500 1
Os1 Os 0.500 0.500 0.000 1
```

---

[7]
The following is a PBE calculation of a geometry-optimized CsK3Be structure, from Alexandria via LeMat-Bulk.

Output
Total DFT energy (no corrections), eV per cell: -2.79
Energy of formation from the pure elements, meV/atom: 1016
Spin magnetization, μB/f.u.: 0.0
Energy above the lowest structure with this stoichiometry, meV/atom: 547

Structure (CIF):
```
data_CsK3Be
_chemical_formula_sum 'Cs1 K3 Be1'
_cell_length_a 8.471
_cell_length_b 8.471
_cell_length_c 8.471
_cell_angle_alpha 90.00
_cell_angle_beta 90.00
_cell_angle_gamma 90.00
_space_group_name_H-M_alt 'P m -3 m'
_space_group_IT_number 221
_space_group_name_Hall '-P 4 2 3'
loop_
_atom_site_label
_atom_site_type_symbol
_atom_site_fract_x
_atom_site_fract_y
_atom_site_fract_z
_atom_site_occupancy
Cs1 Cs 0.000 0.000 0.000 1
K1 K 0.000 0.000 0.500 1
Be1 Be 0.500 0.500 0.500 1
```

---

[8]
The following is a PBE calculation of a geometry-optimized TmGaAg structure, from Alexandria via LeMat-Bulk.

Output
Total DFT energy (no corrections), eV per cell: -45.57
Energy of formation from the pure elements, meV/atom: -348
Spin magnetization, μB/f.u.: 0.0

Structure (CIF):
```
data_TmGaAg
_chemical_formula_sum 'Tm4 Ga4 Ag4'
_cell_length_a 4.113
_cell_length_b 12.906
_cell_length_c 4.651
_cell_angle_alpha 90.00
_cell_angle_beta 90.00
_cell_angle_gamma 90.00
_space_group_name_H-M_alt 'C m c m'
_space_group_IT_number 63
_space_group_name_Hall '-C 2c 2'
loop_
_atom_site_label
_atom_site_type_symbol
_atom_site_fract_x
_atom_site_fract_y
_atom_site_fract_z
_atom_site_occupancy
Tm1 Tm 0.000 0.091 0.250 1
Ga1 Ga 0.000 0.404 0.250 1
Ag1 Ag 0.000 0.243 0.750 1
```

---

> Number 6 is which compound?

K2SrZrOs

---

> The lowest total DFT energy (no corrections) belongs to which entry?

LiVP2